1 | # CaAcTl (GGA-PBE, relaxed)
data_CaAcTl
_chemical_formula_sum 'Ca2 Ac2 Tl2'
_cell_length_a 5.3772
_cell_length_b 7.1164
_cell_length_c 7.1164
_cell_angle_alpha 94.30
_cell_angle_beta 90.00
_cell_angle_gamma 90.00
_space_group_name_H-M_alt 'P 1'
_space_group_IT_number 1
loop_
_space_group_symop_operation_xyz
'x,y,z'
loop_
_atom_site_label
_atom_site_fract_x
_atom_site_fract_y
_atom_site_fract_z
Ac1 0.5000 0.8128 0.1872
Ac2 0.5000 0.1872 0.8128
Tl1 0.5000 0.5000 0.5000
Tl2 0.0000 0.0000 0.0000
Ca1 0.0000 0.3155 0.3155
Ca2 0.0000 0.6845 0.6845
# DOS at the Fermi energy ... 5.5 states/eV/cell
# Spin magnetization ... 0.000 μB per formula unit
# SG ... Cmmm



2 | # CaAcTl (GGA-PBE, relaxed)
data_CaAcTl
_chemical_formula_sum 'Ca2 Ac2 Tl2'
_cell_length_a 5.7975
_cell_length_b 5.7975
_cell_length_c 7.2614
_cell_angle_alpha 90.00
_cell_angle_beta 90.00
_cell_angle_gamma 120.01
_space_group_name_H-M_alt 'P 1'
_space_group_IT_number 1
loop_
_space_group_symop_operation_xyz
'x,y,z'
loop_
_atom_site_label
_atom_site_fract_x
_atom_site_fract_y
_atom_site_fract_z
Ca1 0.0000 0.5000 0.5000
Ac1 0.6668 0.8332 0.2500
Tl1 0.6666 0.8334 0.7500
Ac2 0.3332 0.1668 0.7500
Ca2 0.0000 0.5000 0.0000
Tl2 0.3334 0.1666 0.2500
# DOS at the Fermi energy ... 1.9 states/eV/cell
# Spin magnetization ... 0.000 μB per formula unit
# SG ... P6_3/mmc



Short version: 1 is the least stable of them.



1 | # CaAc2Tl2 (GGA-PBE, relaxed)
data_CaAc2Tl2
_chemical_formula_sum 'Ca2 Ac4 Tl4'
_cell_length_a 4.8869
_cell_length_b 8.6705
_cell_length_c 8.6705
_cell_angle_alpha 90.00
_cell_angle_beta 90.00
_cell_angle_gamma 90.00
_space_group_name_H-M_alt 'P 1'
_space_group_IT_number 1
loop_
_space_group_symop_operation_xyz
'x,y,z'
loop_
_atom_site_label
_atom_site_fract_x
_atom_site_fract_y
_atom_site_fract_z
Tl1 0.0000 0.6320 0.1320
Ac1 0.5000 0.1661 0.6661
Ac2 0.5000 0.8339 0.3339
Ac3 0.5000 0.6661 0.8339
Tl2 0.0000 0.8680 0.6320
Tl3 0.0000 0.3680 0.8680
Tl4 0.0000 0.1320 0.3680
Ca1 0.0000 0.0000 0.0000
Ac4 0.5000 0.3339 0.1661
Ca2 0.0000 0.5000 0.5000
# DOS at the Fermi energy ... 16.6 states/eV/cell
# Spin magnetization ... 0.438 μB per formula unit
# SG ... P4/mbm



2 | # CaAc2Tl2 (GGA-PBE, relaxed)
data_CaAc2Tl2
_chemical_formula_sum 'Ca2 Ac4 Tl4'
_cell_length_a 5.4276
_cell_length_b 7.1712
_cell_length_c 9.9194
_cell_angle_alpha 90.00
_cell_angle_beta 105.88
_cell_angle_gamma 90.00
_space_group_name_H-M_alt 'P 1'
_space_group_IT_number 1
loop_
_space_group_symop_operation_xyz
'x,y,z'
loop_
_atom_site_label
_atom_site_fract_x
_atom_site_fract_y
_atom_site_fract_z
Ca1 0.6132 0.9451 0.2263
Tl1 0.1928 0.0911 0.3856
Tl2 0.8072 0.5911 0.6145
Ac1 0.0219 0.2355 0.0438
Tl3 0.4280 0.9992 0.8561
Ca2 0.3868 0.4451 0.7737
Ac2 0.8047 0.0947 0.6095
Ac3 0.9781 0.7355 0.9562
Ac4 0.1953 0.5947 0.3905
Tl4 0.5720 0.4992 0.1439
# DOS at the Fermi energy ... 8.7 states/eV/cell
# Spin magnetization ... 0.000 μB per formula unit
# SG ... Cmc2_1



Short version: 2 is the least stable of them.



1 | # CaAc3Tl4 (GGA-PBE, relaxed)
data_CaAc3Tl4
_chemical_formula_sum 'Ca1 Ac3 Tl4'
_cell_length_a 3.9991
_cell_length_b 7.6901
_cell_length_c 10.5612
_cell_angle_alpha 111.33
_cell_angle_beta 100.91
_cell_angle_gamma 90.00
_space_group_name_H-M_alt 'P 1'
_space_group_IT_number 1
loop_
_space_group_symop_operation_xyz
'x,y,z'
loop_
_atom_site_label
_atom_site_fract_x
_atom_site_fract_y
_atom_site_fract_z
Tl1 0.6248 0.8365 0.2497
Ac1 0.0000 0.5000 0.0000
Ac2 0.2147 0.2148 0.4293
Tl2 0.3752 0.1635 0.7503
Ac3 0.7853 0.7852 0.5707
Ca1 0.5000 0.0000 0.0000
Tl3 0.6247 0.4135 0.2495
Tl4 0.3753 0.5865 0.7505
# DOS at the Fermi energy ... 8.3 states/eV/cell
# Spin magnetization ... 0.000 μB per formula unit
# SG ... Immm



2 | # CaAc3Tl4 (GGA-PBE, relaxed)
data_CaAc3Tl4
_chemical_formula_sum 'Ca1 Ac3 Tl4'
_cell_length_a 3.9443
_cell_length_b 3.9443
_cell_length_c 17.2944
_cell_angle_alpha 90.00
_cell_angle_beta 90.00
_cell_angle_gamma 90.00
_space_group_name_H-M_alt 'P 1'
_space_group_IT_number 1
loop_
_space_group_symop_operation_xyz
'x,y,z'
loop_
_atom_site_label
_atom_site_fract_x
_atom_site_fract_y
_atom_site_fract_z
Tl1 0.0000 0.0000 0.8916
Ca1 0.5000 0.5000 0.0000
Ac1 0.5000 0.5000 0.7610
Tl2 0.0000 0.0000 0.3684
Ac2 0.5000 0.5000 0.5000
Tl3 0.0000 0.0000 0.1084
Tl4 0.0000 0.0000 0.6316
Ac3 0.5000 0.5000 0.2390
# DOS at the Fermi energy ... 7.3 states/eV/cell
# Spin magnetization ... 0.000 μB per formula unit
# SG ... P4/mmm



Short version: 1 is the least stable of them.



1 | # Ca2AcTl2 (GGA-PBE, relaxed)
data_Ca2AcTl2
_chemical_formula_sum 'Ca4 Ac2 Tl4'
_cell_length_a 4.0407
_cell_length_b 5.7569
_cell_length_c 14.7782
_cell_angle_alpha 90.00
_cell_angle_beta 97.86
_cell_angle_gamma 90.00
_space_group_name_H-M_alt 'P 1'
_space_group_IT_number 1
loop_
_space_group_symop_operation_xyz
'x,y,z'
loop_
_atom_site_label
_atom_site_fract_x
_atom_site_fract_y
_atom_site_fract_z
Tl1 0.4571 0.7500 0.9141
Tl2 0.5429 0.2500 0.0859
Ca1 0.2358 0.7500 0.4716
Ca2 0.9519 0.2500 0.9038
Tl3 0.3521 0.2500 0.7043
Tl4 0.6479 0.7500 0.2957
Ac1 0.1419 0.2500 0.2838
Ca3 0.7642 0.2500 0.5284
Ac2 0.8581 0.7500 0.7162
Ca4 0.0481 0.7500 0.0962
# DOS at the Fermi energy ... 8.9 states/eV/cell
# Spin magnetization ... 0.634 μB per formula unit
# SG ... Cmcm



2 | # Ca2AcTl2 (GGA-PBE, relaxed)
data_Ca2AcTl2
_chemical_formula_sum 'Ca4 Ac2 Tl4'
_cell_length_a 4.6677
_cell_length_b 5.8165
_cell_length_c 13.1108
_cell_angle_alpha 96.26
_cell_angle_beta 90.00
_cell_angle_gamma 90.00
_space_group_name_H-M_alt 'P 1'
_space_group_IT_number 1
loop_
_space_group_symop_operation_xyz
'x,y,z'
loop_
_atom_site_label
_atom_site_fract_x
_atom_site_fract_y
_atom_site_fract_z
Tl1 0.2500 0.3355 0.9716
Ca1 0.7500 0.1719 0.1128
Ac1 0.7500 0.3091 0.7649
Ca2 0.2500 0.8281 0.8872
Tl2 0.2500 0.7879 0.6500
Ca3 0.2500 0.2551 0.5171
Ac2 0.2500 0.6909 0.2351
Ca4 0.7500 0.7449 0.4829
Tl3 0.7500 0.6646 0.0284
Tl4 0.7500 0.2121 0.3500
# DOS at the Fermi energy ... 6.1 states/eV/cell
# Spin magnetization ... 0.000 μB per formula unit
# SG ... P2_1/m



Short version: 2 is the least stable of them.



1 | # Ca2Ac3Tl4 (GGA-PBE, relaxed)
data_Ca2Ac3Tl4
_chemical_formula_sum 'Ca2 Ac3 Tl4'
_cell_length_a 5.7073
_cell_length_b 5.7170
_cell_length_c 10.9588
_cell_angle_alpha 89.95
_cell_angle_beta 90.00
_cell_angle_gamma 119.94
_space_group_name_H-M_alt 'P 1'
_space_group_IT_number 1
loop_
_space_group_symop_operation_xyz
'x,y,z'
loop_
_atom_site_label
_atom_site_fract_x
_atom_site_fract_y
_atom_site_fract_z
Ac1 0.0000 0.0000 0.0000
Tl1 0.9992 0.9983 0.3428
Tl2 0.0008 0.0017 0.6572
Tl3 0.6670 0.3340 0.0924
Ac2 0.3338 0.6675 0.5935
Ac3 0.6662 0.3325 0.4065
Tl4 0.3330 0.6660 0.9076
Ca1 0.6667 0.3335 0.7831
Ca2 0.3333 0.6665 0.2169
# DOS at the Fermi energy ... 7.0 states/eV/cell
# Spin magnetization ... 0.000 μB per formula unit
# SG ... C2/m



2 | # Ca2Ac3Tl4 (GGA-PBE, relaxed)
data_Ca2Ac3Tl4
_chemical_formula_sum 'Ca2 Ac3 Tl4'
_cell_length_a 4.0577
_cell_length_b 7.9893
_cell_length_c 11.4626
_cell_angle_alpha 113.59
_cell_angle_beta 90.00
_cell_angle_gamma 104.71
_space_group_name_H-M_alt 'P 1'
_space_group_IT_number 1
loop_
_space_group_symop_operation_xyz
'x,y,z'
loop_
_atom_site_label
_atom_site_fract_x
_atom_site_fract_y
_atom_site_fract_z
Tl1 0.0907 0.1813 0.4674
Ac1 0.3945 0.7890 0.2701
Ac2 0.0000 0.0000 0.0000
Ca1 0.6826 0.3652 0.3352
Ca2 0.3174 0.6348 0.6648
Tl2 0.9093 0.8187 0.5326
Tl3 0.7009 0.4019 0.0677
Ac3 0.6055 0.2110 0.7299
Tl4 0.2991 0.5981 0.9323
# DOS at the Fermi energy ... 8.4 states/eV/cell
# Spin magnetization ... 0.000 μB per formula unit
# SG ... C2/m



Short version: 2 is the least stable of them.



1 | # CaAc4Tm (GGA-PBE, relaxed)
data_CaAc4Tm
_chemical_formula_sum 'Ca1 Ac4 Tm1'
_cell_length_a 7.2527
_cell_length_b 7.2527
_cell_length_c 7.2527
_cell_angle_alpha 60.00
_cell_angle_beta 60.00
_cell_angle_gamma 60.00
_space_group_name_H-M_alt 'P 1'
_space_group_IT_number 1
loop_
_space_group_symop_operation_xyz
'x,y,z'
loop_
_atom_site_label
_atom_site_fract_x
_atom_site_fract_y
_atom_site_fract_z
Ac1 0.6262 0.6262 0.1214
Ca1 0.2500 0.2500 0.2500
Ac2 0.6262 0.6262 0.6262
Ac3 0.6262 0.1214 0.6262
Ac4 0.1214 0.6262 0.6262
Tm1 0.0000 0.0000 0.0000
# DOS at the Fermi energy ... 10.7 states/eV/cell
# Spin magnetization ... 0.000 μB per formula unit
# SG ... F-43m



2 | # CaAc4Tm (GGA-PBE, relaxed)
data_CaAc4Tm
_chemical_formula_sum 'Ca1 Ac4 Tm1'
_cell_length_a 3.9606
_cell_length_b 3.9606
_cell_length_c 16.0309
_cell_angle_alpha 90.00
_cell_angle_beta 90.00
_cell_angle_gamma 90.00
_space_group_name_H-M_alt 'P 1'
_space_group_IT_number 1
loop_
_space_group_symop_operation_xyz
'x,y,z'
loop_
_atom_site_label
_atom_site_fract_x
_atom_site_fract_y
_atom_site_fract_z
Ca1 0.0000 0.0000 0.0000
Tm1 0.5000 0.5000 0.5000
Ac1 0.5000 0.5000 0.8216
Ac2 0.0000 0.0000 0.3480
Ac3 0.0000 0.0000 0.6520
Ac4 0.5000 0.5000 0.1784
# DOS at the Fermi energy ... 9.2 states/eV/cell
# Spin magnetization ... 0.001 μB per formula unit
# SG ... P4/mmm



Short version: 1 is the least stable of them.



1 | # Ca2AcY (GGA-PBE, relaxed)
data_Ca2AcY
_chemical_formula_sum 'Ca2 Ac1 Y1'
_cell_length_a 3.8400
_cell_length_b 6.5048
_cell_length_c 13.1897
_cell_angle_alpha 34.05
_cell_angle_beta 106.85
_cell_angle_gamma 89.95
_space_group_name_H-M_alt 'P 1'
_space_group_IT_number 1
loop_
_space_group_symop_operation_xyz
'x,y,z'
loop_
_atom_site_label
_atom_site_fract_x
_atom_site_fract_y
_atom_site_fract_z
Ac1 0.4248 0.6067 0.1846
Ca1 0.9246 0.1063 0.6848
Y1 0.9248 0.1063 0.1848
Ca2 0.4247 0.6067 0.6846
# DOS at the Fermi energy ... 7.1 states/eV/cell
# Spin magnetization ... 0.000 μB per formula unit
# SG ... P2/m



2 | # Ca2AcY (GGA-PBE, relaxed)
data_Ca2AcY
_chemical_formula_sum 'Ca2 Ac1 Y1'
_cell_length_a 4.2649
_cell_length_b 4.2649
_cell_length_c 8.6231
_cell_angle_alpha 90.00
_cell_angle_beta 90.00
_cell_angle_gamma 90.00
_space_group_name_H-M_alt 'P 1'
_space_group_IT_number 1
loop_
_space_group_symop_operation_xyz
'x,y,z'
loop_
_atom_site_label
_atom_site_fract_x
_atom_site_fract_y
_atom_site_fract_z
Ca1 0.0000 0.0000 0.7303
Ac1 0.5000 0.5000 0.0000
Ca2 0.0000 0.0000 0.2697
Y1 0.5000 0.5000 0.5000
# DOS at the Fermi energy ... 5.4 states/eV/cell
# Spin magnetization ... 0.000 μB per formula unit
# SG ... P4/mmm



3 | # Ca2AcY (GGA-PBE, relaxed)
data_Ca2AcY
_chemical_formula_sum 'Ca2 Ac1 Y1'
_cell_length_a 6.0610
_cell_length_b 6.0610
_cell_length_c 6.0610
_cell_angle_alpha 60.00
_cell_angle_beta 60.00
_cell_angle_gamma 60.00
_space_group_name_H-M_alt 'P 1'
_space_group_IT_number 1
loop_
_space_group_symop_operation_xyz
'x,y,z'
loop_
_atom_site_label
_atom_site_fract_x
_atom_site_fract_y
_atom_site_fract_z
Ac1 0.0000 0.0000 0.0000
Ca1 0.7500 0.7500 0.7500
Ca2 0.2500 0.2500 0.2500
Y1 0.5000 0.5000 0.5000
# DOS at the Fermi energy ... 5.5 states/eV/cell
# Spin magnetization ... 0.000 μB per formula unit
# SG ... Fm-3m



4 | # Ca2AcY (GGA-PBE, relaxed)
data_Ca2AcY
_chemical_formula_sum 'Ca2 Ac1 Y1'
_cell_length_a 3.7102
_cell_length_b 3.7102
_cell_length_c 13.6701
_cell_angle_alpha 82.20
_cell_angle_beta 82.20
_cell_angle_gamma 60.00
_space_group_name_H-M_alt 'P 1'
_space_group_IT_number 1
loop_
_space_group_symop_operation_xyz
'x,y,z'
loop_
_atom_site_label
_atom_site_fract_x
_atom_site_fract_y
_atom_site_fract_z
Ca1 0.0852 0.0852 0.7446
Ca2 0.9148 0.9148 0.2554
Ac1 0.5000 0.5000 0.5000
Y1 0.0000 0.0000 0.0000
# DOS at the Fermi energy ... 5.8 states/eV/cell
# Spin magnetization ... 0.696 μB per formula unit
# SG ... R-3m



Short version: 4 is the least stable of them.



1 | # CaAc2Y (GGA-PBE, relaxed)
data_CaAc2Y
_chemical_formula_sum 'Ca1 Ac2 Y1'
_cell_length_a 5.0118
_cell_length_b 5.6749
_cell_length_c 5.6749
_cell_angle_alpha 90.00
_cell_angle_beta 90.00
_cell_angle_gamma 90.00
_space_group_name_H-M_alt 'P 1'
_space_group_IT_number 1
loop_
_space_group_symop_operation_xyz
'x,y,z'
loop_
_atom_site_label
_atom_site_fract_x
_atom_site_fract_y
_atom_site_fract_z
Ca1 0.5000 0.5000 0.5000
Ac1 0.0000 0.0000 0.5000
Ac2 0.0000 0.5000 0.0000
Y1 0.5000 0.0000 0.0000
# DOS at the Fermi energy ... 5.8 states/eV/cell
# Spin magnetization ... 0.000 μB per formula unit
# SG ... P4/mmm



2 | # CaAc2Y (GGA-PBE, relaxed)
data_CaAc2Y
_chemical_formula_sum 'Ca1 Ac2 Y1'
_cell_length_a 6.1196
_cell_length_b 6.1196
_cell_length_c 6.1196
_cell_angle_alpha 60.00
_cell_angle_beta 60.00
_cell_angle_gamma 60.00
_space_group_name_H-M_alt 'P 1'
_space_group_IT_number 1
loop_
_space_group_symop_operation_xyz
'x,y,z'
loop_
_atom_site_label
_atom_site_fract_x
_atom_site_fract_y
_atom_site_fract_z
Y1 0.5000 0.5000 0.5000
Ca1 0.0000 0.0000 0.0000
Ac1 0.2500 0.2500 0.2500
Ac2 0.7500 0.7500 0.7500
# DOS at the Fermi energy ... 5.5 states/eV/cell
# Spin magnetization ... 0.000 μB per formula unit
# SG ... Fm-3m



Short version: 1 is the least stable of them.